Entry 1:
This record from the Alexandria database describes a geometry-optimized MnPdW2Br structure. The functional is PBE-GGA. Values from VASP.

The structure in Quantum ESPRESSO input format:
```
&SYSTEM
  ibrav = 0, nat = 5, ntyp = 4
/
ATOMIC_SPECIES
Mn 54.94 Mn.upf
Pd 106.42 Pd.upf
W 183.84 W.upf
Br 79.90 Br.upf
ATOMIC_POSITIONS crystal
Mn 0.0000 0.0000 0.0000
Pd 0.5000 0.5000 0.0000
W 0.0000 0.5000 0.5000
W 0.5000 0.0000 0.5000
Br 0.5000 0.5000 0.5000
CELL_PARAMETERS angstrom
4.6185 0.0000 0.0000
0.0000 4.6185 0.0000
0.0000 0.0000 4.6587
```

Its space-group type is P4/mmm (123). The total magnetization comes out at 0.7764 μB per atom. The formation energy without anion corrections comes out at 1893.4 meV/atom.


Entry 2:
This record from the Alexandria database describes a geometry-optimized ZrMn2PdBr structure. The functional is PBE-GGA. Values from VASP.

The structure in Quantum ESPRESSO input format:
```
&SYSTEM
  ibrav = 0, nat = 5, ntyp = 4
/
ATOMIC_SPECIES
Zr 91.22 Zr.upf
Mn 54.94 Mn.upf
Pd 106.42 Pd.upf
Br 79.90 Br.upf
ATOMIC_POSITIONS crystal
Zr 0.0000 0.0000 0.0000
Mn 0.0000 0.5000 0.5000
Mn 0.5000 0.0000 0.5000
Pd 0.5000 0.5000 0.0000
Br 0.0000 0.0000 0.5000
CELL_PARAMETERS angstrom
4.2786 0.0000 0.0000
0.0000 4.2786 0.0000
0.0000 0.0000 4.9582
```

Its space-group type is P4/mmm (123). The total magnetization comes out at 0.0004 μB per atom. The formation energy without anion corrections comes out at 1005.7 meV/atom.


Entry 3:
This record from the Alexandria database describes a geometry-optimized Pm4MnBr5 structure. The functional is PBE-GGA. Values from VASP.

The structure in Quantum ESPRESSO input format:
```
&SYSTEM
  ibrav = 0, nat = 10, ntyp = 3
/
ATOMIC_SPECIES
Pm 145.00 Pm.upf
Mn 54.94 Mn.upf
Br 79.90 Br.upf
ATOMIC_POSITIONS crystal
Pm 0.0013 0.0013 0.2360
Pm 0.3628 0.3628 0.9292
Pm 0.6372 0.6372 0.0708
Pm 0.9987 0.9987 0.7640
Mn 0.5000 0.5000 0.0000
Br 0.1679 0.1679 0.3182
Br 0.1690 0.1690 0.8502
Br 0.5000 0.5000 0.5000
Br 0.8310 0.8310 0.1498
Br 0.8321 0.8321 0.6818
CELL_PARAMETERS angstrom
9.2141 -1.9890 0.0000
9.2141 1.9890 0.0000
-2.4066 0.0000 9.0173
```

Its space-group type is C2/m (12). The total magnetization comes out at 0.0000 μB per atom. The formation energy without anion corrections comes out at -1235.6 meV/atom.


Entry 4:
This record from the Alexandria database describes a geometry-optimized Pm7MnBr12 structure. The functional is PBE-GGA. Values from VASP.

The structure in Quantum ESPRESSO input format:
```
&SYSTEM
  ibrav = 0, nat = 20, ntyp = 3
/
ATOMIC_SPECIES
Pm 145.00 Pm.upf
Mn 54.94 Mn.upf
Br 79.90 Br.upf
ATOMIC_POSITIONS crystal
Pm 0.0000 0.0000 0.0000
Pm 0.1958 0.4007 0.4800
Pm 0.4007 0.4800 0.1958
Pm 0.4800 0.1958 0.4007
Pm 0.5200 0.8042 0.5993
Pm 0.5993 0.5200 0.8042
Pm 0.8042 0.5993 0.5200
Mn 0.5000 0.5000 0.5000
Br 0.0395 0.3335 0.1193
Br 0.1193 0.0395 0.3335
Br 0.1827 0.7206 0.5733
Br 0.2794 0.4267 0.8173
Br 0.3335 0.1193 0.0395
Br 0.4267 0.8173 0.2794
Br 0.5733 0.1827 0.7206
Br 0.6665 0.8807 0.9605
Br 0.7206 0.5733 0.1827
Br 0.8173 0.2794 0.4267
Br 0.8807 0.9605 0.6665
Br 0.9605 0.6665 0.8807
CELL_PARAMETERS angstrom
7.5910 4.3827 3.5592
-7.5910 4.3827 3.5592
0.0000 -8.7654 3.5592
```

Its space-group type is R-3 (148). The total magnetization comes out at 0.1022 μB per atom. The formation energy without anion corrections comes out at -1526.7 meV/atom.


Entry 5:
This record from the Alexandria database describes a geometry-optimized RbPmMn2Br8 structure. The functional is PBE-GGA. Values from VASP.

The structure in Quantum ESPRESSO input format:
```
&SYSTEM
  ibrav = 0, nat = 12, ntyp = 4
/
ATOMIC_SPECIES
Rb 85.47 Rb.upf
Pm 145.00 Pm.upf
Mn 54.94 Mn.upf
Br 79.90 Br.upf
ATOMIC_POSITIONS crystal
Rb 0.0000 0.0000 0.0000
Pm 0.5000 0.5000 0.5000
Mn 0.2485 0.2485 0.2485
Mn 0.7515 0.7515 0.7515
Br 0.1260 0.4298 0.7734
Br 0.2266 0.5702 0.8740
Br 0.3222 0.3222 0.3222
Br 0.4298 0.7734 0.1260
Br 0.5702 0.8740 0.2266
Br 0.6778 0.6778 0.6778
Br 0.7734 0.1260 0.4298
Br 0.8740 0.2266 0.5702
CELL_PARAMETERS angstrom
3.4417 1.9871 10.9267
-3.4417 1.9871 10.9267
0.0000 -3.9741 10.9267
```

Its space-group type is R32 (155). The total magnetization comes out at 0.8333 μB per atom. The formation energy without anion corrections comes out at -1261.9 meV/atom.


Entry 6:
This record from the Alexandria database describes a geometry-optimized PmMnTlBr6 structure. The functional is PBE-GGA. Values from VASP.

The structure in Quantum ESPRESSO input format:
```
&SYSTEM
  ibrav = 0, nat = 18, ntyp = 4
/
ATOMIC_SPECIES
Pm 145.00 Pm.upf
Mn 54.94 Mn.upf
Tl 204.38 Tl.upf
Br 79.90 Br.upf
ATOMIC_POSITIONS crystal
Pm 0.3333 0.6667 0.2500
Pm 0.6667 0.3333 0.7500
Mn 0.3333 0.6667 0.7500
Mn 0.6667 0.3333 0.2500
Tl 0.0000 0.0000 0.0000
Tl 0.0000 0.0000 0.5000
Br 0.0188 0.3801 0.6401
Br 0.0188 0.6386 0.8599
Br 0.3614 0.3801 0.8599
Br 0.3614 0.9812 0.6401
Br 0.3801 0.0188 0.1401
Br 0.3801 0.3614 0.3599
Br 0.6199 0.6386 0.6401
Br 0.6199 0.9812 0.8599
Br 0.6386 0.0188 0.3599
Br 0.6386 0.6199 0.1401
Br 0.9812 0.3614 0.1401
Br 0.9812 0.6199 0.3599
CELL_PARAMETERS angstrom
7.2582 0.0000 0.0000
-3.6291 6.2858 0.0000
0.0000 0.0000 14.5872
```

Its space-group type is P-31c (163). The total magnetization comes out at 0.5556 μB per atom. The formation energy without anion corrections comes out at -1290.5 meV/atom.